Computed, not measured: a relaxed TiReMoW3 crystal at the PBE level of DFT.

Cell lengths 3.1556, 7.0663, 9.5171 Å; angles 116.49, 90.00, 90.00 degrees
With the nearest neighbours (Å) after each atom.
Sites, in units of the cell vectors:
Ti 0.2500 0.1264 0.6282  2 Re 2.72, 2 Mo 2.74, 2 W 2.75, 2 Ti 2.78
Re 0.7500 0.8758 0.7089  2 Ti 2.72, 6 W 2.73-2.74
W 0.2500 0.6246 0.4590  4 W 2.72-2.74, 2 Re 2.74, 2 Ti 2.75
W 0.2500 0.6254 0.7897  2 Re 2.73, 4 W 2.74-2.76, 2 Mo 2.75
Mo 0.7500 0.3769 0.8776  2 Mo 2.71, 4 W 2.73-2.75, 2 Ti 2.74
W 0.2500 0.1243 0.9569  2 Mo 2.73, 2 Re 2.73, 4 W 2.74-2.76
W 0.7500 0.8757 0.0431  2 Mo 2.73, 2 Re 2.73, 4 W 2.74-2.76
Re 0.2500 0.1242 0.2911  2 Ti 2.72, 6 W 2.73-2.74
Mo 0.2500 0.6231 0.1224  2 Mo 2.71, 4 W 2.73-2.75, 2 Ti 2.74
Ti 0.7500 0.8736 0.3718  2 Re 2.72, 2 Mo 2.74, 2 W 2.75, 2 Ti 2.78
W 0.7500 0.3746 0.2103  2 Re 2.73, 4 W 2.74-2.76, 2 Mo 2.75
W 0.7500 0.3754 0.5410  4 W 2.72-2.74, 2 Re 2.74, 2 Ti 2.75

Total magnetization   0.0 μB per formula unit
Space-group type   No. 11
N(E_F)   5.59 states/eV/cell
Formation energy from the elements   -126 meV/atom
DFT total energy   -141.6 eV for the cell shown

=====

Computed, not measured: a relaxed ScAg2Rh crystal at the PBE level of DFT.

Cell lengths 9.0765, 9.0765, 9.0765 Å; angles 19.53, 19.53, 19.53 degrees
With the nearest neighbours (Å) after each atom.
Sites, in units of the cell vectors:
Ag 0.2472 0.2472 0.2472  3 Rh 2.91, 9 Ag 2.93-3.08
Rh 0.4941 0.4941 0.4941  3 Sc 2.57
Ag 0.0010 0.0010 0.0010  9 Ag 2.93-3.08, 3 Sc 2.99
Sc 0.7578 0.7578 0.7578  3 Rh 2.57

Total magnetization   0.0 μB per formula unit
Space-group type   No. 160
N(E_F)   1.69 states/eV/cell
Formation energy from the elements   -138 meV/atom
DFT total energy   -19.9 eV for the cell shown

=====

Computed, not measured: a relaxed Er8GaPt2 crystal at the PBE level of DFT.

Cell lengths 5.4196, 7.8883, 7.8883 Å; angles 114.18, 98.72, 98.72 degrees
With the nearest neighbours (Å) after each atom.
Sites, in units of the cell vectors:
Er 0.8087 0.6220 0.6220  2 Pt 3.09, 1 Ga 3.14, 4 Er 3.27-3.40
Pt 0.4992 0.3082 0.6982  8 Er 2.84-3.09
Er 0.9990 0.7679 0.2365  2 Pt 2.87, 1 Ga 3.10
Er 0.4115 0.6718 0.9224  2 Pt 2.84-2.92
Er 0.5830 0.0836 0.3339  2 Pt 2.84-2.92
Ga 0.0149 0.0032 0.0032  4 Er 3.10-3.15
Er 0.4115 0.9224 0.6718  2 Pt 2.84-2.92
Er 0.5830 0.3339 0.0836  2 Pt 2.84-2.92
Er 0.9990 0.2365 0.7679  2 Pt 2.87, 1 Ga 3.10
Er 0.1906 0.3861 0.3861  2 Pt 3.09, 1 Ga 3.15, 4 Er 3.27-3.40
Pt 0.4992 0.6982 0.3082  8 Er 2.84-3.09

Total magnetization   0.0 μB per formula unit
Space-group type   No. 8
N(E_F)   13.02 states/eV/cell
Formation energy from the elements   -514 meV/atom
DFT total energy   -57.3 eV for the cell shown